(1)
Entry from the Alexandria database: a relaxed RuW2O crystal (PBE with a Hubbard U).

Properties
Symmetry   No. 122
DOS at the Fermi energy   4.29 states/eV/cell
M_tot   0.0 μB per cell
Electronic total energy   -6.527 eV/atom

a = 4.7387 Å, b = 4.7387 Å, c = 6.9016 Å
α = 69.92°, β = 69.92°, γ = 90.00°
With the nearest neighbours (Å) after each atom.
Fractional coordinates of all 8 atoms:
Ru1 0.0000 0.0000 0.0000  4 W 2.50
Ru2 0.7500 0.2500 0.5000  4 W 2.50
O1 0.5000 0.5000 0.0000  4 W 2.06
O2 0.2500 0.7500 0.5000  4 W 2.06
W1 0.5351 0.1250 0.2500  2 O 2.06
W2 0.2149 0.6250 0.2500  2 O 2.06
W3 0.3750 0.4649 0.7500  2 O 2.06
W4 0.8750 0.7851 0.7500  2 O 2.06

***

(2)
Entry from the Alexandria database: a relaxed RuWO3 crystal (PBE with a Hubbard U).

Properties
Symmetry   No. 221
DOS at the Fermi energy   3.82 states/eV/cell
M_tot   2.5 μB per cell
Electronic total energy   -6.286 eV/atom

a = 3.8994 Å, b = 3.8994 Å, c = 3.8994 Å
α = 90.00°, β = 90.00°, γ = 90.00°
With the nearest neighbours (Å) after each atom.
Fractional coordinates of all 5 atoms:
Ru1 0.0000 0.0000 0.0000  6 O 1.95
O1 0.0000 0.5000 0.0000  2 Ru 1.95
O2 0.0000 0.0000 0.5000  2 Ru 1.95
O3 0.5000 0.0000 0.0000  2 Ru 1.95
W1 0.5000 0.5000 0.5000  12 O 2.76

***

(3)
Entry from the Alexandria database: a relaxed RuWO6 crystal (PBE with a Hubbard U).

Properties
Symmetry   No. 148
DOS at the Fermi energy   4.71 states/eV/cell
M_tot   0.0 μB per cell
Electronic total energy   -7.062 eV/atom

a = 5.3899 Å, b = 5.3900 Å, c = 5.3976 Å
α = 60.04°, β = 60.05°, γ = 60.00°
With the nearest neighbours (Å) after each atom.
Fractional coordinates of all 8 atoms:
Ru1 0.0000 0.0000 0.0000  6 O 1.89
W1 0.5000 0.5000 0.5000  6 O 1.93
O1 0.2290 0.2667 0.7515  1 Ru 1.89, 1 W 1.93
O2 0.7518 0.2288 0.7525  1 Ru 1.89, 1 W 1.93
O3 0.7337 0.2481 0.2476  1 Ru 1.89, 1 W 1.93
O4 0.2482 0.7712 0.2475  1 Ru 1.89, 1 W 1.93
O5 0.7710 0.7333 0.2485  1 Ru 1.89, 1 W 1.93
O6 0.2663 0.7519 0.7524  1 Ru 1.89, 1 W 1.93